A plane-wave DFT calculation with PBE+U was carried out for crystalline Mn2SbO4 at its relaxed geometry.

a b c (Å): 6.110 6.110 5.349
angles (deg): 107.88 107.88 33.34
Sites, in units of the cell vectors:
Mn1 0.146 0.146 0.043
Mn2 0.854 0.854 0.957
Sb1 0.500 0.500 0.500
O1 0.050 0.050 0.308
O2 0.340 0.340 0.170
O3 0.660 0.660 0.830
O4 0.950 0.950 0.692

Properties
Calculated volume = 14.9 Å³/atom
Energy above the lowest structure with this stoichiometry = 2.4 kJ per mole of atoms
Magnetization = 9.83 μB/cell